Co2Pb2O5 (GGA+U, optimized geometry); uncorrected energy = -49.23 eV/cell
1.0
-6.840 1.279 3.522
-0.499 -3.784 0.405
1.775 0.130 3.401
Pb O Co
2 5 2
direct
0.500 0.000 0.000
0.000 0.000 0.000
0.196 0.000 0.500
0.804 0.000 0.500
0.804 0.500 0.000
0.500 0.500 0.500
0.196 0.500 0.000
0.759 0.500 0.500
0.241 0.500 0.500